Computed, not measured: La8GeIr3Cl4 after structural relaxation at the GGA-PBE level of DFT.

Values from the calculation:
- Final energy: -6.17 eV/atom
- Formation energy (no corrections): -1297 meV/atom

```
data_La8GeIr3Cl4
_chemical_formula_sum 'La8 Ge1 Ir3 Cl4'
_space_group_name_H-M_alt 'P 1'
_space_group_IT_number 1
_space_group_name_Hall 'P 1'
_cell_length_a 8.5152
_cell_length_b 8.9801
_cell_length_c 8.5186
_cell_angle_alpha 118.34
_cell_angle_beta 119.99
_cell_angle_gamma 90.00
loop_
_atom_site_label
_atom_site_type_symbol
_atom_site_fract_x
_atom_site_fract_y
_atom_site_fract_z
La1 La 0.2770 0.2924 0.0342
La2 La 0.7369 0.7097 0.4739
La3 La 0.2428 0.7076 0.9658
La4 La 0.7574 0.2926 0.5147
La5 La 0.7230 0.7076 0.9658
La6 La 0.2426 0.7074 0.4853
La7 La 0.7572 0.2924 0.0342
La8 La 0.2631 0.2903 0.5261
Cl1 Cl 0.0000 0.0000 0.0000
Cl2 Cl 0.0000 0.0000 0.5000
Cl3 Cl 0.5000 0.0000 0.0000
Cl4 Cl 0.5000 0.0000 0.5000
Ge1 Ge 0.0000 0.5000 0.0000
Ir1 Ir 0.5000 0.5000 0.5000
Ir2 Ir 0.5000 0.5000 0.0000
Ir3 Ir 0.0000 0.5000 0.5000
```